No. 1
SmSiNiIr | the Alexandria database | PBE-GGA | optimized geometry; formation energy (no corrections) = -531 meV/atom; mass density = 9.33 g/cm³; Fermi-level density of states = 0.4865 states/eV/atom; space-group type = Imm2 (44)
1.0
3.9472 0.0000 0.0000
0.0000 4.0908 0.0000
-1.9736 -2.0454 4.7313
Sm Si Ir Ni
1 1 1 1
direct
0.9696 0.9696 0.9393
0.2234 0.7234 0.4467
0.5928 0.5928 0.1856
0.3296 0.3296 0.6592

***

No. 2
SmSi3NiIr | the Alexandria database | PBE-GGA | optimized geometry; formation energy (no corrections) = -507 meV/atom; mass density = 7.27 g/cm³; Fermi-level density of states = 0.3285 states/eV/atom; space-group type = Cmcm (63)
1.0
-4.3647 3.4105 -1.1759
-3.9060 -4.2997 2.0279
2.2928 4.6051 4.8461
Si Ni Ir Sm
6 2 2 2
direct
0.7500 0.7883 0.5765
0.0000 0.7167 0.0000
0.2500 0.2117 0.4235
0.5000 0.7167 0.0000
0.5000 0.2833 0.0000
0.0000 0.2833 0.0000
0.2500 0.0436 0.0871
0.7500 0.9564 0.9129
0.2500 0.3892 0.7785
0.7500 0.6108 0.2215
0.7500 0.2076 0.4152
0.2500 0.7924 0.5848

***

No. 3
Sm2Si4NiIr3 | the Alexandria database | PBE-GGA | optimized geometry; formation energy (no corrections) = -957 meV/atom; mass density = 10.26 g/cm³; Fermi-level density of states = 0.7378 states/eV/atom; space-group type = P-4m2 (115)
1.0
4.1462 0.0000 0.0000
0.0000 4.1462 0.0000
0.0000 0.0000 9.8678
Ni Sm Si Ir
1 2 4 3
direct
0.5000 0.5000 0.5000
0.5000 0.0000 0.2470
0.0000 0.5000 0.7530
0.0000 0.5000 0.3726
0.0000 0.0000 0.0000
0.5000 0.5000 0.0000
0.5000 0.0000 0.6274
0.5000 0.0000 0.8717
0.0000 0.5000 0.1283
0.0000 0.0000 0.5000

***

No. 4
Sr2Si3Ni12Ir | the Alexandria database | PBE-GGA | optimized geometry; formation energy (no corrections) = -15 meV/atom; mass density = 6.95 g/cm³; Fermi-level density of states = 1.0749 states/eV/atom; space-group type = R-3m (166)
1.0
-5.7210 -5.9947 -4.0911
-0.1753 -8.5146 -3.5881
-3.8819 -8.2904 1.2667
Ni Ir Sr Si
12 1 2 3
direct
0.0571 0.6519 0.0571
0.5918 0.1891 0.5918
0.9429 0.3481 0.9429
0.0571 0.0571 0.6519
0.5918 0.5918 0.1891
0.9429 0.9429 0.3481
0.6519 0.0571 0.0571
0.3481 0.9429 0.9429
0.1891 0.5918 0.5918
0.8109 0.4082 0.4082
0.4082 0.4082 0.8109
0.4082 0.8109 0.4082
0.0000 0.0000 0.0000
0.6526 0.6526 0.6526
0.3474 0.3474 0.3474
0.0000 0.0000 0.5000
0.5000 0.0000 0.0000
0.0000 0.5000 0.0000

***

No. 5
SrSi3NiIr | the Alexandria database | PBE-GGA | optimized geometry; formation energy (no corrections) = -410 meV/atom; mass density = 6.02 g/cm³; Fermi-level density of states = 0.4015 states/eV/atom; space-group type = Cmcm (63)
1.0
5.9343 0.0000 0.0000
0.0000 6.1509 0.0000
0.0000 -3.0755 6.3937
Si Ni Sr Ir
6 2 2 2
direct
0.5000 0.7155 0.0000
0.2500 0.2434 0.4869
0.5000 0.2845 0.0000
0.0000 0.2845 0.0000
0.0000 0.7155 0.0000
0.7500 0.7566 0.5131
0.2500 0.4078 0.8156
0.7500 0.5922 0.1844
0.7500 0.2183 0.4365
0.2500 0.7817 0.5635
0.7500 0.9294 0.8587
0.2500 0.0706 0.1413

***

No. 6
TbSi2Ni2Ir | the Alexandria database | PBE-GGA | optimized geometry; formation energy (no corrections) = -119 meV/atom; mass density = 7.97 g/cm³; Fermi-level density of states = 0.4224 states/eV/atom; space-group type = P4/mmm (123)
1.0
-1.3255 2.1805 3.7323
0.8686 -3.6899 2.4642
5.0093 1.7029 0.7841
Tb Ni Ir Si
1 2 1 2
direct
0.0000 0.0000 0.5000
0.5000 0.5000 0.7549
0.5000 0.5000 0.2451
0.0000 0.0000 0.0000
0.0000 0.5000 0.0000
0.5000 0.0000 0.0000

***

No. 7
Tb2Si3Ni12Ir | the Alexandria database | PBE-GGA | optimized geometry; formation energy (no corrections) = -55 meV/atom; mass density = 8.82 g/cm³; Fermi-level density of states = 1.0271 states/eV/atom; space-group type = R-3m (166)
1.0
-3.8709 2.8107 -4.0590
-4.9676 -0.1216 3.8299
0.9405 5.7704 2.2756
Ir Ni Si Tb
1 12 3 2
direct
0.0000 0.0000 0.0000
0.2996 0.8073 0.8073
0.1114 0.6062 0.6062
0.6062 0.6062 0.1114
0.8073 0.8073 0.2996
0.6062 0.1114 0.6062
0.1927 0.7004 0.1927
0.8073 0.2996 0.8073
0.8886 0.3938 0.3938
0.7004 0.1927 0.1927
0.3938 0.8886 0.3938
0.1927 0.1927 0.7004
0.3938 0.3938 0.8886
0.5000 0.0000 0.0000
0.0000 0.5000 0.0000
0.0000 0.0000 0.5000
0.3157 0.3157 0.3157
0.6843 0.6843 0.6843

***

No. 8
Tb2Si4Ni3Ir | the Alexandria database | PBE-GGA | optimized geometry; formation energy (no corrections) = -911 meV/atom; mass density = 8.64 g/cm³; Fermi-level density of states = 0.4363 states/eV/atom; space-group type = P-4m2 (115)
1.0
3.9698 0.0000 0.0000
0.0000 3.9698 0.0000
0.0000 0.0000 9.7337
Tb Si Ni Ir
2 4 3 1
direct
0.0000 0.5000 0.7589
0.5000 0.0000 0.2411
0.5000 0.5000 0.0000
0.0000 0.0000 0.0000
0.0000 0.5000 0.3607
0.5000 0.0000 0.6393
0.0000 0.0000 0.5000
0.5000 0.0000 0.8768
0.0000 0.5000 0.1232
0.5000 0.5000 0.5000

***

Number 1: volume 19.10 Å³ per atom. Number 2: volume 18.47 Å³ per atom. Number 3: volume 16.96 Å³ per atom. Number 4: volume 15.35 Å³ per atom. Number 5: volume 19.45 Å³ per atom. Number 6: volume 18.22 Å³ per atom. Number 7: volume 13.58 Å³ per atom. Number 8: volume 15.34 Å³ per atom.